[1]
Density functional theory data (PBE) for a relaxed structure of AgW3S5.

Results
Theoretical density, g cm⁻³: 7.286
Total energy, eV/cell: -61.32

a = 5.5533 Å, b = 5.5533 Å, c = 6.9953 Å
α = 90.00°, β = 90.00°, γ = 120.00°
Space group P6/mmm (No. 191)
One atom of each set of equivalent atoms:
Ag (0.0000, 0.0000, 0.0000) x1
W (0.0000, 0.5000, 0.5000) x3
S (0.0000, 0.0000, 0.5000) x1
S (0.3333, 0.6667, 0.2359) x4

[2]
Density functional theory data (PBE) for a relaxed structure of AgWS4.

Results
Theoretical density, g cm⁻³: 5.601
Total energy, eV/cell: -64.82

a = 3.4951 Å, b = 12.5411 Å, c = 5.6807 Å
α = 90.00°, β = 90.00°, γ = 90.00°
Space group Cmm2 (No. 35)
One atom of each set of equivalent atoms:
Ag (0.0000, 0.0000, 0.0000) x2
W (0.0000, 0.5000, 0.4556) x2
S (0.0000, 0.1180, 0.6180) x4
S (0.0000, 0.3635, 0.1829) x4

[3]
Density functional theory data (PBE) for a relaxed structure of ZnAg2WS6.

Results
Theoretical density, g cm⁻³: 5.093
Total energy, eV/cell: -167.42

a = 9.4995 Å, b = 9.4995 Å, c = 9.4995 Å
α = 90.00°, β = 90.00°, γ = 90.00°
Space group Fm-3m (No. 225)
One atom of each set of equivalent atoms:
Zn (0.0000, 0.0000, 0.0000) x4
Ag (0.2500, 0.2500, 0.2500) x8
W (0.0000, 0.0000, 0.5000) x4
S (0.0000, 0.0000, 0.2526) x24

- The highest theoretical density belongs to which entry?
  AgW3S5

- Which value of total energy does entry 1 give?
  -61.32 eV/cell

Repeat the first record exactly.
Density functional theory data (PBE) for a relaxed structure of AgW3S5.

Results
Theoretical density, g cm⁻³: 7.286
Total energy, eV/cell: -61.32

a = 5.5533 Å, b = 5.5533 Å, c = 6.9953 Å
α = 90.00°, β = 90.00°, γ = 120.00°
Space group P6/mmm (No. 191)
One atom of each set of equivalent atoms:
Ag (0.0000, 0.0000, 0.0000) x1
W (0.0000, 0.5000, 0.5000) x3
S (0.0000, 0.0000, 0.5000) x1
S (0.3333, 0.6667, 0.2359) x4

- What is the total energy in the first record?
  -61.32 eV/cell